[1]
Entry from the Alexandria database: an optimized crystal structure of Sr3HO (GGA-PBEsol).

abc: 5.1025 5.1025 5.1025
angles: 90.00 90.00 90.00
Fractional positions:
Sr: 0.0000 0.0000 0.5000
Sr: 0.0000 0.5000 0.0000
Sr: 0.5000 0.0000 0.0000
H: 0.0000 0.0000 0.0000
O: 0.5000 0.5000 0.5000

As for the magnetization: 0.000 μB/f.u. The total DFT energy (no corrections) is -2.898 eV per atom.


[2]
Entry from the Alexandria database: an optimized crystal structure of SrH4O3 (GGA-PBEsol).

abc: 6.0535 3.6776 6.5736
angles: 90.00 90.31 90.00
Fractional positions:
Sr: 0.0000 0.0000 0.0000
Sr: 0.2646 0.0000 0.5084
H: 0.0154 0.5000 0.3058
H: 0.5026 0.2134 0.9291
H: 0.5026 0.7866 0.9291
H: 0.5980 0.5000 0.6782
H: 0.6310 0.5000 0.1419
H: 0.7343 0.2125 0.4399
H: 0.7343 0.7875 0.4399
H: 0.9162 0.5000 0.6546
O: 0.0640 0.5000 0.7164
O: 0.1601 0.5000 0.2393
O: 0.4053 0.0000 0.8837
O: 0.5764 0.5000 0.5299
O: 0.6837 0.5000 0.0014
O: 0.8266 0.0000 0.3825

As for the magnetization: 0.000 μB/f.u. Its polymorph energy (0 for the lowest one) is 0.011 eV per atom.


[3]
Entry from the Alexandria database: an optimized crystal structure of Sr2TcHO (GGA-PBEsol).

abc: 5.4491 5.4491 2.8100
angles: 90.00 90.00 90.00
Fractional positions:
Sr: 0.0000 0.5000 0.0000
Sr: 0.5000 0.0000 0.0000
Tc: 0.0000 0.0000 0.5000
H: 0.5000 0.5000 0.5000
O: 0.5000 0.5000 0.0000

As for the magnetization: 0.000 μB/f.u. The total DFT energy (no corrections) is -4.717 eV per atom.


[4]
Entry from the Alexandria database: an optimized crystal structure of SrTeH2O4 (GGA-PBEsol).

abc: 7.7126 7.1013 8.1708
angles: 90.00 107.43 90.00
Fractional positions:
Sr: 0.1038 0.1384 0.3373
Sr: 0.1038 0.3616 0.8373
Sr: 0.8962 0.6384 0.1627
Sr: 0.8962 0.8616 0.6627
Te: 0.2935 0.6845 0.5062
Te: 0.2935 0.8155 0.0062
Te: 0.7065 0.1845 0.9938
Te: 0.7065 0.3155 0.4938
H: 0.3012 0.0413 0.7148
H: 0.3012 0.4587 0.2148
H: 0.4936 0.0676 0.6724
H: 0.4936 0.4324 0.1724
H: 0.5064 0.5676 0.8276
H: 0.5064 0.9324 0.3276
H: 0.6988 0.5413 0.7852
H: 0.6988 0.9587 0.2852
O: 0.0644 0.6965 0.9482
O: 0.0644 0.8035 0.4482
O: 0.2019 0.0227 0.8569
O: 0.2019 0.4773 0.3569
O: 0.2896 0.5847 0.7207
O: 0.2896 0.9153 0.2207
O: 0.3573 0.0560 0.6163
O: 0.3573 0.4440 0.1163
O: 0.6427 0.5560 0.8837
O: 0.6427 0.9440 0.3837
O: 0.7104 0.0847 0.7793
O: 0.7104 0.4153 0.2793
O: 0.7981 0.5227 0.6431
O: 0.7981 0.9773 0.1431
O: 0.9356 0.1965 0.5518
O: 0.9356 0.3035 0.0518

As for the magnetization: 0.000 μB/f.u. The total DFT energy (no corrections) is -5.771 eV per atom.